## Ca2HfO4 (PBE)

Data for an optimized crystal structure of Ca2HfO4.

Unit cell a=5.7475 b=9.9511 c=3.2787 alpha=90.00 beta=90.00 gamma=90.00
Last column: nearest neighbours and their distance in Å.
Space group Pbam (No. 55)
Asymmetric unit:
Ca1 0.0663 0.1804 0.0000 [4 per cell]  6 O 2.37-2.53
Hf1 0.0000 0.5000 0.5000 [2 per cell]  6 O 2.07-2.14
O1 0.1376 0.6925 0.5000 [4 per cell]  1 Hf 2.07
O2 0.2270 0.4559 0.0000 [4 per cell]  2 Hf 2.14, 1 Ca 2.38

Summary:
For the magnetization, the calculation gives 0.00 μB per atom. For the volume, the calculation gives 188 Å³/cell. The uncorrected formation energy is -3.27 eV per atom. As for the crystal system: orthorhombic.